No. 1
# BeTc2P

A relaxed BeTc2P crystal (PBE, the Alexandria database).

abc: 4.174 4.174 4.174
angles: 60.00 60.00 60.00
Each line ends with the local moment (μB).
Positions (direct):
Tc 0.000 0.000 0.000  0.04
Tc 0.250 0.250 0.250  0.21
P 0.750 0.750 0.750  0.02
Be 0.500 0.500 0.500  0.01

Output
Energy above the most stable polymorph in this dataset in eV/atom: 0.608
Calculated density in kg/m3: 7621
Raw total energy in eV/atom: -7.286

No. 2
# LaY3Tm6Sc2

A relaxed LaY3Tm6Sc2 crystal (PBE, the Alexandria database).

abc: 6.043 6.043 11.611
angles: 94.96 94.96 119.97
Positions (direct):
La 0.000 0.000 0.000
Sc 0.667 0.333 0.000
Sc 0.333 0.667 0.000
Tm 0.419 0.083 0.247
Tm 0.581 0.917 0.753
Tm 0.083 0.419 0.247
Tm 0.917 0.581 0.753
Tm 0.253 0.253 0.753
Tm 0.747 0.747 0.247
Y 0.167 0.833 0.500
Y 0.833 0.167 0.500
Y 0.500 0.500 0.500

Output
Calculated density in kg/m3: 6926
Raw total energy in eV/atom: -5.270

No. 3
# Rb5NbS4Br2

A relaxed Rb5NbS4Br2 crystal (PBE, the Alexandria database).

abc: 8.037 7.104 10.069
angles: 90.00 90.00 124.45
Positions (direct):
Br 0.945 0.555 0.500
Br 0.390 0.445 0.500
Rb 0.106 0.389 0.230
Rb 0.447 0.000 0.500
Rb 0.717 0.611 0.770
Rb 0.717 0.611 0.230
Rb 0.106 0.389 0.770
Nb 0.398 0.000 0.000
S 0.566 0.000 0.186
S 0.566 0.000 0.814
S 0.380 0.312 0.000
S 0.068 0.688 0.000

Output
Calculated density in kg/m3: 2831
Raw total energy in eV/atom: -4.268
Formation energy (no corrections) in kJ per mole of atoms: -132.3

No. 4
# MgTl2ReIr

A relaxed MgTl2ReIr crystal (PBE, the Alexandria database).

abc: 5.260 4.892 5.260
angles: 90.00 90.00 90.00
Each line ends with the local moment (μB).
Positions (direct):
Mg 0.500 0.500 0.500  -0.01
Tl 0.500 0.000 0.000  0.02
Tl 0.000 0.000 0.500  0.00
Re 0.000 0.500 0.000  1.66
Ir 0.000 0.000 0.000  0.03

Output
Energy above the most stable polymorph in this dataset in eV/atom: 0.000
Calculated density in kg/m3: 9956
Raw total energy in eV/atom: -4.469

No. 5
# La2Nd6Dy3Er

A relaxed La2Nd6Dy3Er crystal (PBE, the Alexandria database).

abc: 6.322 6.322 12.053
angles: 95.04 95.04 120.00
Positions (direct):
Nd 0.584 0.915 0.746
Nd 0.247 0.247 0.745
Nd 0.416 0.085 0.254
Nd 0.753 0.753 0.255
Nd 0.085 0.416 0.254
Nd 0.915 0.584 0.746
Dy 0.834 0.166 0.500
Dy 0.166 0.834 0.500
Dy 0.500 0.500 0.500
La 0.667 0.333 0.000
La 0.333 0.667 0.000
Er 0.000 0.000 0.000

Output
Calculated density in kg/m3: 7269
Raw total energy in eV/atom: -4.718

No. 6
# Zn3SbBr

A relaxed Zn3SbBr crystal (PBE, the Alexandria database).

abc: 5.347 5.347 5.347
angles: 90.00 90.00 90.00
Positions (direct):
Br 0.500 0.500 0.500
Zn 0.500 0.000 0.000
Zn 0.000 0.000 0.500
Zn 0.000 0.500 0.000
Sb 0.000 0.000 0.000

Output
Energy above the most stable polymorph in this dataset in eV/atom: 0.000
Calculated density in kg/m3: 4322
Raw total energy in eV/atom: -1.809
Formation energy (no corrections) in kJ per mole of atoms: 11.1

No. 7
# Sb2AuIN

A relaxed Sb2AuIN crystal (PBE, the Alexandria database).

abc: 5.418 5.418 5.560
angles: 90.00 90.00 90.00
Each line ends with the local moment (μB).
Positions (direct):
I 0.000 0.000 0.500  0.05
Sb 0.500 0.000 0.000  0.06
Sb 0.000 0.500 0.000  0.06
Au 0.000 0.000 0.000  0.01
N 0.500 0.500 0.500  -0.33

Output
Energy above the most stable polymorph in this dataset in eV/atom: 0.908
Calculated density in kg/m3: 5915
Raw total energy in eV/atom: -2.538
Formation energy (no corrections) in kJ per mole of atoms: 168.1

No. 8
# La2SnSb

A relaxed La2SnSb crystal (PBE, the Alexandria database).

abc: 3.862 3.862 8.349
angles: 90.00 90.00 90.00
Positions (direct):
Sn 0.500 0.500 0.500
La 0.000 0.000 0.767
La 0.000 0.000 0.233
Sb 0.500 0.500 0.000

Output
Energy above the most stable polymorph in this dataset in eV/atom: 0.182
Calculated density in kg/m3: 6912
Raw total energy in eV/atom: -5.347
Formation energy (no corrections) in kJ per mole of atoms: -82.2

No. 9
# AlFePt2

A relaxed AlFePt2 crystal (PBE, the Alexandria database).

abc: 6.314 4.591 2.807
angles: 90.04 63.61 123.48
Each line ends with the local moment (μB).
Positions (direct):
Al 0.000 0.500 0.500  0.00
Pt 0.000 0.000 0.000  0.18
Pt 0.500 0.000 0.500  0.18
Fe 0.500 0.500 0.000  2.96

Output
Calculated density in kg/m3: 13674
Raw total energy in eV/atom: -6.675

No. 10
# Cs3PuTh2Te6

A relaxed Cs3PuTh2Te6 crystal (PBE, the Alexandria database).

abc: 7.977 7.977 9.412
angles: 98.12 98.12 120.00
Each line ends with the local moment (μB).
Positions (direct):
Pu 0.000 0.000 0.000  5.56
Te 0.598 0.934 0.803  -0.02
Te 0.402 0.066 0.197  -0.02
Te 0.934 0.598 0.803  -0.02
Te 0.272 0.272 0.804  -0.02
Te 0.066 0.402 0.197  -0.02
Te 0.728 0.728 0.196  -0.02
Cs 0.500 0.500 0.500  0.00
Cs 0.835 0.165 0.500  0.00
Cs 0.165 0.835 0.500  0.00
Th 0.667 0.333 0.000  0.20
Th 0.333 0.667 0.000  0.20

Output
Calculated density in kg/m3: 6248
Raw total energy in eV/atom: -5.395
Formation energy (no corrections) in kJ per mole of atoms: -113.8

No. 11
# Re3Sb

A relaxed Re3Sb crystal (PBE, the Alexandria database).

abc: 5.481 5.481 5.481
angles: 148.47 129.36 60.89
Positions (direct):
Re 0.784 0.777 0.007
Re 0.176 0.500 0.676
Re 0.230 0.223 0.007
Sb 0.643 0.000 0.643

Output
Energy above the most stable polymorph in this dataset in eV/atom: 0.050
Calculated density in kg/m3: 17125
Raw total energy in eV/atom: -9.900
Formation energy (no corrections) in kJ per mole of atoms: 45.1

No. 12
# Pm5Y12Tm2

A relaxed Pm5Y12Tm2 crystal (PBE, the Alexandria database).

abc: 9.363 9.100 8.683
angles: 91.68 90.00 120.96
Positions (direct):
Y 0.074 0.148 0.875
Y 0.327 0.296 0.237
Y 0.673 0.704 0.763
Y 0.180 0.742 0.331
Y 0.443 0.886 0.666
Y 0.820 0.258 0.669
Y 0.557 0.114 0.334
Y 0.031 0.704 0.763
Y 0.562 0.742 0.331
Y 0.926 0.852 0.125
Y 0.438 0.258 0.669
Y 0.969 0.296 0.237
Pm 0.295 0.589 0.980
Pm 0.230 0.461 0.571
Pm 0.770 0.539 0.429
Pm 0.705 0.411 0.020
Pm 0.000 0.000 0.500
Tm 0.672 0.000 0.000
Tm 0.328 0.000 0.000

Output
Energy above the most stable polymorph in this dataset in eV/atom: 0.093
Calculated density in kg/m3: 5578
Raw total energy in eV/atom: -5.689

No. 13
# Tb12PmTm7

A relaxed Tb12PmTm7 crystal (PBE, the Alexandria database).

abc: 8.691 8.691 8.691
angles: 86.49 86.49 86.49
Positions (direct):
Tb 0.770 0.242 0.649
Tb 0.428 0.102 0.346
Tb 0.242 0.649 0.770
Tb 0.758 0.351 0.230
Tb 0.351 0.230 0.758
Tb 0.346 0.428 0.102
Tb 0.898 0.654 0.572
Tb 0.654 0.572 0.898
Tb 0.572 0.898 0.654
Tb 0.102 0.346 0.428
Tb 0.230 0.758 0.351
Tb 0.649 0.770 0.242
Tm 0.878 0.003 0.368
Tm 0.500 0.500 0.500
Tm 0.997 0.632 0.122
Tm 0.368 0.878 0.003
Tm 0.003 0.368 0.878
Tm 0.632 0.122 0.997
Tm 0.122 0.997 0.632
Pm 0.000 0.000 0.000

Output
Energy above the most stable polymorph in this dataset in eV/atom: 0.000
Calculated density in kg/m3: 8227
Raw total energy in eV/atom: -4.341

No. 14
# TlReSe2

A relaxed TlReSe2 crystal (PBE, the Alexandria database).

abc: 3.085 3.986 7.241
angles: 90.00 90.00 90.00
Positions (direct):
Re 0.500 0.500 0.855
Se 0.500 0.500 0.195
Se 0.000 0.000 0.946
Tl 0.000 0.000 0.504

Output
Energy above the most stable polymorph in this dataset in eV/atom: 0.469
Calculated density in kg/m3: 10230
Raw total energy in eV/atom: -4.974
Formation energy (no corrections) in kJ per mole of atoms: 45.5

No. 15
# Pm12SiC4

A relaxed Pm12SiC4 crystal (PBE, the Alexandria database).

abc: 8.418 8.418 8.418
angles: 109.47 109.47 109.47
Each line ends with the local moment (μB).
Positions (direct):
Pm 0.182 0.698 0.880  0.18
Pm 0.182 0.302 0.484  0.18
Pm 0.302 0.484 0.182  0.18
Pm 0.880 0.182 0.698  0.18
Pm 0.120 0.818 0.302  0.18
Pm 0.484 0.182 0.302  0.18
Pm 0.698 0.516 0.818  0.18
Pm 0.818 0.698 0.516  0.18
Pm 0.516 0.818 0.698  0.18
Pm 0.818 0.302 0.120  0.18
Pm 0.302 0.120 0.818  0.18
Pm 0.698 0.880 0.182  0.18
C 0.500 0.500 0.500  0.00
C 0.000 0.000 0.500  0.00
C 0.500 0.000 0.000  0.00
C 0.000 0.500 0.000  0.00
Si 0.000 0.000 0.000  -0.03

Output
Calculated density in kg/m3: 6567
Raw total energy in eV/atom: -5.840
Formation energy (no corrections) in kJ per mole of atoms: 0.3

No. 16
# NaCeAsO5

A relaxed NaCeAsO5 crystal (PBE, the Alexandria database).

abc: 6.049 6.049 7.929
angles: 104.79 104.79 102.38
Positions (direct):
As 0.666 0.334 0.250
As 0.334 0.666 0.750
O 0.857 0.315 0.122
O 0.272 0.379 0.605
O 0.080 0.920 0.250
O 0.728 0.621 0.395
O 0.621 0.728 0.895
O 0.315 0.857 0.622
O 0.143 0.685 0.878
O 0.920 0.080 0.750
O 0.685 0.143 0.378
O 0.379 0.272 0.105
Ce 0.000 0.000 0.000
Ce 0.000 0.000 0.500
Na 0.329 0.671 0.250
Na 0.671 0.329 0.750

Output
Calculated density in kg/m3: 4081
Raw total energy in eV/atom: -6.809
Formation energy (no corrections) in kJ per mole of atoms: -214.4

No. 17
# Zr3BO2

A relaxed Zr3BO2 crystal (PBE, the Alexandria database).

abc: 4.678 6.741 10.000
angles: 90.00 90.00 90.01
Positions (direct):
O 0.250 0.374 0.748
O 0.750 0.618 0.922
O 0.250 0.874 0.752
O 0.750 0.126 0.248
O 0.750 0.118 0.578
O 0.750 0.626 0.252
O 0.250 0.382 0.078
O 0.250 0.882 0.422
Zr 0.750 0.864 0.421
Zr 0.750 0.364 0.079
Zr 0.250 0.619 0.585
Zr 0.250 0.136 0.579
Zr 0.250 0.632 0.256
Zr 0.250 0.119 0.915
Zr 0.250 0.132 0.244
Zr 0.750 0.868 0.756
Zr 0.750 0.881 0.085
Zr 0.250 0.636 0.921
Zr 0.750 0.381 0.415
Zr 0.750 0.368 0.744
B 0.250 0.371 0.416
B 0.250 0.871 0.084
B 0.750 0.629 0.584
B 0.750 0.129 0.916

Output
Calculated density in kg/m3: 6665
Raw total energy in eV/atom: -8.893
Formation energy (no corrections) in kJ per mole of atoms: -178.8

No. 18
# CuAg2Ir

A relaxed CuAg2Ir crystal (PBE, the Alexandria database).

abc: 2.704 3.963 5.863
angles: 90.00 90.00 90.00
Positions (direct):
Ir 0.500 0.500 0.728
Ag 0.500 0.500 0.257
Ag 0.000 0.000 0.992
Cu 0.000 0.000 0.524

Output
Energy above the most stable polymorph in this dataset in eV/atom: 0.101
Calculated density in kg/m3: 12462
Raw total energy in eV/atom: -4.365

No. 19
# Rb4Y3PuTe8

A relaxed Rb4Y3PuTe8 crystal (PBE, the Alexandria database).

abc: 9.110 10.031 9.110
angles: 117.02 120.00 90.00
Each line ends with the local moment (μB).
Positions (direct):
Te 0.733 0.699 0.466  0.00
Te 0.271 0.300 0.036  -0.04
Te 0.235 0.700 0.964  -0.04
Te 0.267 0.301 0.534  0.00
Te 0.765 0.300 0.036  -0.04
Te 0.765 0.300 0.530  -0.04
Te 0.235 0.700 0.470  -0.04
Te 0.729 0.700 0.964  -0.04
Rb 0.000 0.000 0.500  0.00
Rb 0.000 0.000 0.000  0.00
Rb 0.500 0.000 0.500  0.00
Rb 0.500 0.000 0.000  0.00
Y 0.500 0.500 0.000  0.01
Y 0.500 0.500 0.500  0.01
Y 0.000 0.500 0.500  0.01
Pu 0.000 0.500 0.000  5.19

Output
Calculated density in kg/m3: 5068
Raw total energy in eV/atom: -5.239
Formation energy (no corrections) in kJ per mole of atoms: -127.2

No. 20
# KTaMn

A relaxed KTaMn crystal (PBE, the Alexandria database).

abc: 7.360 7.360 7.360
angles: 154.81 154.81 35.92
Each line ends with the local moment (μB).
Positions (direct):
Mn 0.293 0.293 0.000  1.68
K 0.987 0.987 0.000  0.03
Ta 0.719 0.719 0.000  -0.46

Output
Energy above the most stable polymorph in this dataset in eV/atom: 0.000
Calculated density in kg/m3: 6331
Raw total energy in eV/atom: -6.541

No. 21
# Cu4SiAu

A relaxed Cu4SiAu crystal (PBE, the Alexandria database).

abc: 4.474 4.427 8.639
angles: 104.83 105.01 90.00
Positions (direct):
Cu 0.605 0.578 0.656
Cu 0.815 0.345 0.190
Cu 0.949 0.922 0.344
Cu 0.051 0.078 0.656
Cu 0.625 0.155 0.810
Cu 0.395 0.422 0.344
Cu 0.185 0.655 0.810
Cu 0.375 0.845 0.190
Au 0.226 0.250 0.000
Au 0.774 0.750 0.000
Si 0.000 0.500 0.500
Si 0.500 0.000 0.500

Output
Energy above the most stable polymorph in this dataset in eV/atom: 0.000
Calculated density in kg/m3: 9986
Raw total energy in eV/atom: -4.189
Formation energy (no corrections) in kJ per mole of atoms: -0.8

No. 22
# MgIrRh2O

A relaxed MgIrRh2O crystal (PBE, the Alexandria database).

abc: 4.651 5.036 4.651
angles: 90.00 90.00 90.00
Positions (direct):
Mg 0.000 0.500 0.000
Ir 0.000 0.000 0.000
Rh 0.000 0.000 0.500
Rh 0.500 0.000 0.000
O 0.500 0.500 0.500

Output
Calculated density in kg/m3: 6682
Raw total energy in eV/atom: -4.795
Formation energy (no corrections) in kJ per mole of atoms: 118.5